1.
{
  "formula": "ScTe2Br",
  "functional": "GGA-PBE",
  "state": "relaxed",
  "lattice_angstrom": [[3.8537, 0.0000, 0.0000], [0.0000, 3.8535, 0.0000], [0.0000, 0.0000, 7.3811]],
  "species": ["Te", "Sc", "Br", "Te"],
  "frac_coords": [[0.0000, 0.0000, 0.5556], [0.5000, 0.5000, 0.7500], [0.5000, 0.5000, 0.2500], [0.0000, 0.0000, 0.9444]],
  "magnetic_moment_mub_per_atom": 0.000,
  "de_polymorph_mev_per_atom": 237,
  "raw_formation_energy_mev_per_atom": -719.1
}

=====

2.
{
  "formula": "ScTe2Br",
  "functional": "GGA-PBE",
  "state": "relaxed",
  "lattice_angstrom": [[-3.2858, 4.3390, 0.2448], [-3.7646, -2.9951, 2.5573], [0.3854, 3.1450, 10.0540]],
  "species": ["Te", "Te", "Sc", "Br", "Te", "Br", "Sc", "Te"],
  "frac_coords": [[0.2725, 0.6250, 0.2500], [0.4775, 0.1250, 0.2500], [0.2500, 0.7500, 0.5000], [0.0000, 0.0000, 0.0000], [0.8750, 0.7275, 0.7500], [0.7500, 0.2500, 0.5000], [0.5000, 0.5000, 0.0000], [0.3750, 0.5225, 0.7500]],
  "magnetic_moment_mub_per_atom": 0.000,
  "de_polymorph_mev_per_atom": 510,
  "raw_formation_energy_mev_per_atom": -446.2
}

=====

3.
{
  "formula": "ScTeBr2",
  "functional": "GGA-PBE",
  "state": "relaxed",
  "lattice_angstrom": [[8.3263, 0.1015, 0.0066], [5.8714, 5.9046, -0.0066], [-6.5873, -4.2123, 2.8638]],
  "species": ["Sc", "Te", "Br", "Br"],
  "frac_coords": [[0.5091, 0.5091, 0.0000], [0.3525, 0.8525, 0.5000], [0.9977, 0.9977, 0.0000], [0.6407, 0.1407, 0.5000]],
  "magnetic_moment_mub_per_atom": 0.000,
  "de_polymorph_mev_per_atom": 260,
  "raw_formation_energy_mev_per_atom": -950.4
}

=====

4.
{
  "formula": "Sc2TeBr",
  "functional": "GGA-PBE",
  "state": "relaxed",
  "lattice_angstrom": [[-5.9872, -0.3729, -3.6953], [-3.6494, -5.4025, -2.6713], [3.3494, 2.6935, 5.5827]],
  "species": ["Sc", "Br", "Te", "Sc"],
  "frac_coords": [[0.0000, 0.0000, 0.0000], [0.7500, 0.2500, 0.5000], [0.5000, 0.5000, 0.0000], [0.2500, 0.7500, 0.5000]],
  "magnetic_moment_mub_per_atom": 0.000,
  "de_polymorph_mev_per_atom": 375,
  "raw_formation_energy_mev_per_atom": -655.5
}

=====

5.
{
  "formula": "Sc2TeBr",
  "functional": "GGA-PBE",
  "state": "relaxed",
  "lattice_angstrom": [[-6.1583, -1.2824, -0.4649], [-2.4649, -5.3399, 2.2794], [3.2252, 5.2938, 1.1658]],
  "species": ["Sc", "Te", "Br", "Sc"],
  "frac_coords": [[0.7389, 0.2389, 0.5000], [0.5180, 0.5180, 0.0000], [0.2271, 0.7271, 0.5000], [0.0160, 0.0160, 0.0000]],
  "magnetic_moment_mub_per_atom": 0.265,
  "de_polymorph_mev_per_atom": 319,
  "raw_formation_energy_mev_per_atom": -711.1
}

=====

6.
{
  "formula": "ScTeBr2",
  "functional": "GGA-PBE",
  "state": "relaxed",
  "lattice_angstrom": [[9.8364, 0.0255, 0.0151], [9.0849, 3.7709, 0.0151], [9.0849, 1.8228, 3.3011]],
  "species": ["Sc", "Te", "Br", "Br"],
  "frac_coords": [[0.5014, 0.5014, 0.5014], [0.7700, 0.7700, 0.7700], [0.0034, 0.0034, 0.0034], [0.2252, 0.2252, 0.2252]],
  "magnetic_moment_mub_per_atom": 0.157,
  "de_polymorph_mev_per_atom": 340,
  "raw_formation_energy_mev_per_atom": -870.4
}